Entry w
Below is crystalline Nd2NiH at its relaxed geometry, with properties calculated at the GGA-PBE level.

Space group: R3m
Total magnetization, μB per formula unit: 0.00

Structure (POSCAR):
```
Nd2NiH
1.0
1.888 1.090 6.858
-1.888 1.090 6.858
0.000 -2.181 6.858
Nd Ni H
2 1 1
Direct
0.000 0.000 0.000 Nd
0.166 0.166 0.166 Nd
0.583 0.583 0.583 Ni
0.417 0.417 0.417 H
```

***

Entry x
Below is crystalline Nd2NiH at its relaxed geometry, with properties calculated at the GGA-PBE level.

Space group: P4/mmm
Total magnetization, μB per formula unit: 0.00

Structure (POSCAR):
```
Nd2NiH
1.0
3.328 0.000 0.000
0.000 3.328 0.000
0.000 0.000 7.032
Nd Ni H
2 1 1
Direct
0.000 0.000 0.247 Nd
0.000 0.000 0.753 Nd
0.500 0.500 0.500 Ni
0.500 0.500 0.000 H
```

***

Entry y
Below is crystalline Nd2NiH at its relaxed geometry, with properties calculated at the GGA-PBE level.

Space group: R-3m
Total magnetization, μB per formula unit: 0.00

Structure (POSCAR):
```
Nd2NiH
1.0
1.983 1.145 6.187
-1.983 1.145 6.187
0.000 -2.290 6.187
Nd Ni H
2 1 1
Direct
0.246 0.246 0.246 Nd
0.754 0.754 0.754 Nd
0.000 0.000 0.000 Ni
0.500 0.500 0.500 H
```

***

Most stable structure, least stable structure: entry y, entry x.

***

Entry w
Below is crystalline NdHO at its relaxed geometry, with properties calculated at the GGA-PBE level.

Space group: I4_1/a
Total magnetization, μB per formula unit: 0.00

Structure (POSCAR):
```
NdHO
1.0
-5.381 5.381 3.777
5.381 -5.381 3.777
5.381 5.381 -3.777
Nd H O
8 8 8
Direct
0.246 0.228 0.006 Nd
0.260 0.254 0.482 Nd
0.272 0.778 0.018 Nd
0.278 0.760 0.506 Nd
0.722 0.240 0.494 Nd
0.728 0.222 0.982 Nd
0.740 0.746 0.518 Nd
0.754 0.772 0.994 Nd
0.085 0.593 0.690 H
0.093 0.903 0.507 H
0.105 0.415 0.007 H
0.403 0.395 0.810 H
0.597 0.605 0.190 H
0.895 0.585 0.993 H
0.907 0.097 0.493 H
0.915 0.407 0.310 H
0.090 0.083 0.188 O
0.396 0.902 0.312 O
0.402 0.590 0.506 O
0.417 0.104 0.006 O
0.583 0.896 0.994 O
0.598 0.410 0.494 O
0.604 0.098 0.688 O
0.910 0.917 0.812 O
```

***

Entry x
Below is crystalline NdHO at its relaxed geometry, with properties calculated at the GGA-PBE level.

Space group: P4/nmm
Total magnetization, μB per formula unit: 0.00

Structure (POSCAR):
```
NdHO
1.0
7.918 0.000 0.000
0.000 7.918 0.000
0.000 0.000 5.589
Nd H O
8 8 8
Direct
0.000 0.000 0.000 Nd
0.000 0.500 0.000 Nd
0.250 0.250 0.446 Nd
0.250 0.750 0.500 Nd
0.500 0.000 0.000 Nd
0.500 0.500 0.000 Nd
0.750 0.250 0.500 Nd
0.750 0.750 0.554 Nd
0.021 0.250 0.747 H
0.250 0.021 0.747 H
0.250 0.479 0.747 H
0.479 0.250 0.747 H
0.521 0.750 0.253 H
0.750 0.521 0.253 H
0.750 0.979 0.253 H
0.979 0.750 0.253 H
0.015 0.750 0.756 O
0.250 0.515 0.244 O
0.250 0.985 0.244 O
0.485 0.750 0.756 O
0.515 0.250 0.244 O
0.750 0.015 0.756 O
0.750 0.485 0.756 O
0.985 0.250 0.244 O
```

***

Entry y
Below is crystalline NdHO at its relaxed geometry, with properties calculated at the GGA-PBE level.

Space group: P3m1
Total magnetization, μB per formula unit: 0.00

Structure (POSCAR):
```
NdHO
1.0
3.781 0.000 0.000
-1.890 3.274 0.000
0.000 0.000 5.058
Nd H O
1 1 1
Direct
0.000 0.000 0.000 Nd
0.667 0.333 0.243 H
0.333 0.667 0.872 O
```

***

Most stable structure, least stable structure: entry x, entry y.

***

Entry w
Below is crystalline Nd2HOs at its relaxed geometry, with properties calculated at the GGA-PBE level.

Space group: P4/mmm
Total magnetization, μB per formula unit: 0.00

Structure (POSCAR):
```
Nd2HOs
1.0
3.347 0.000 0.000
0.000 3.347 0.000
0.000 0.000 7.285
Nd H Os
2 1 1
Direct
0.000 0.000 0.246 Nd
0.000 0.000 0.754 Nd
0.500 0.500 0.500 H
0.500 0.500 0.000 Os
```

***

Entry x
Below is crystalline Nd2HOs at its relaxed geometry, with properties calculated at the GGA-PBE level.

Space group: R-3m
Total magnetization, μB per formula unit: 0.00

Structure (POSCAR):
```
Nd2HOs
1.0
2.056 1.187 6.065
-2.056 1.187 6.065
0.000 -2.374 6.065
Nd H Os
2 1 1
Direct
0.248 0.248 0.248 Nd
0.752 0.752 0.752 Nd
0.500 0.500 0.500 H
0.000 0.000 0.000 Os
```

***

Most stable structure, least stable structure: entry w, entry x.

***

Entry w
Below is crystalline Nd2HPd at its relaxed geometry, with properties calculated at the GGA-PBE level.

Space group: R-3m
Total magnetization, μB per formula unit: 0.00

Structure (POSCAR):
```
Nd2HPd
1.0
1.695 0.979 8.613
-1.695 0.979 8.613
0.000 -1.957 8.613
Nd H Pd
2 1 1
Direct
0.105 0.105 0.105 Nd
0.895 0.895 0.895 Nd
0.500 0.500 0.500 H
0.000 0.000 0.000 Pd
```

***

Entry x
Below is crystalline Nd2HPd at its relaxed geometry, with properties calculated at the GGA-PBE level.

Space group: R3m
Total magnetization, μB per formula unit: 0.00

Structure (POSCAR):
```
Nd2HPd
1.0
1.927 1.112 7.070
-1.927 1.112 7.070
0.000 -2.225 7.070
Nd H Pd
2 1 1
Direct
0.000 0.000 0.000 Nd
0.159 0.159 0.159 Nd
0.746 0.746 0.746 H
0.580 0.580 0.580 Pd
```

***

Most stable structure, least stable structure: entry x, entry w.

***

Entry w
Below is crystalline NdHPd3 at its relaxed geometry, with properties calculated at the GGA-PBE level.

Space group: R3m
Total magnetization, μB per formula unit: 0.00

Structure (POSCAR):
```
NdHPd3
1.0
2.999 1.732 2.505
-2.999 1.732 2.505
0.000 -3.463 2.505
Nd H Pd
1 1 3
Direct
0.000 0.000 0.000 Nd
0.655 0.655 0.655 H
0.015 0.496 0.496 Pd
0.496 0.015 0.496 Pd
0.496 0.496 0.015 Pd
```

***

Entry x
Below is crystalline NdHPd3 at its relaxed geometry, with properties calculated at the GGA-PBE level.

Space group: Pm-3m
Total magnetization, μB per formula unit: 0.00

Structure (POSCAR):
```
NdHPd3
1.0
4.240 0.000 0.000
0.000 4.240 0.000
0.000 0.000 4.240
Nd H Pd
1 1 3
Direct
0.000 0.000 0.000 Nd
0.500 0.500 0.500 H
0.000 0.500 0.500 Pd
0.500 0.000 0.500 Pd
0.500 0.500 0.000 Pd
```

***

Most stable structure, least stable structure: entry w, entry x.

***

Entry w
Below is crystalline NdH6Pd3 at its relaxed geometry, with properties calculated at the GGA-PBE level.

Space group: P2_1/m
Total magnetization, μB per formula unit: 0.00

Structure (POSCAR):
```
NdH6Pd3
1.0
7.106 0.000 0.000
0.000 3.893 0.000
-1.879 0.000 7.214
Nd H Pd
2 12 6
Direct
0.203 0.250 0.151 Nd
0.797 0.750 0.849 Nd
0.012 0.750 0.213 H
0.116 0.250 0.474 H
0.142 0.750 0.965 H
0.326 0.750 0.354 H
0.343 0.750 0.650 H
0.420 0.250 0.879 H
0.580 0.750 0.121 H
0.657 0.250 0.350 H
0.674 0.250 0.646 H
0.858 0.250 0.035 H
0.884 0.750 0.526 H
0.988 0.250 0.787 H
0.128 0.750 0.452 Pd
0.376 0.750 0.894 Pd
0.428 0.250 0.618 Pd
0.572 0.750 0.382 Pd
0.624 0.250 0.106 Pd
0.872 0.250 0.548 Pd
```

***

Entry x
Below is crystalline NdH6Pd3 at its relaxed geometry, with properties calculated at the GGA-PBE level.

Space group: R3
Total magnetization, μB per formula unit: 0.00

Structure (POSCAR):
```
NdH6Pd3
1.0
2.500 1.444 4.511
-2.500 1.444 4.511
0.000 -2.887 4.511
Nd H Pd
1 6 3
Direct
0.000 0.000 0.000 Nd
0.024 0.536 0.502 H
0.160 0.518 0.853 H
0.502 0.024 0.536 H
0.518 0.853 0.160 H
0.536 0.502 0.024 H
0.853 0.160 0.518 H
0.233 0.233 0.233 Pd
0.450 0.450 0.450 Pd
0.768 0.768 0.768 Pd
```

***

Most stable structure, least stable structure: entry x, entry w.

***

Entry w
Below is crystalline Pr2NdH at its relaxed geometry, with properties calculated at the GGA-PBE level.

Space group: R3m
Total magnetization, μB per formula unit: 0.00

Structure (POSCAR):
```
Pr2NdH
1.0
1.866 1.077 8.981
-1.866 1.077 8.981
0.000 -2.155 8.981
Pr Nd H
2 1 1
Direct
0.000 0.000 0.000 Pr
0.224 0.224 0.224 Pr
0.777 0.777 0.777 Nd
0.612 0.612 0.612 H
```

***

Entry x
Below is crystalline Pr2NdH at its relaxed geometry, with properties calculated at the GGA-PBE level.

Space group: R-3m
Total magnetization, μB per formula unit: 0.00

Structure (POSCAR):
```
Pr2NdH
1.0
1.880 1.085 8.910
-1.880 1.085 8.910
0.000 -2.171 8.910
Pr Nd H
2 1 1
Direct
0.222 0.222 0.222 Pr
0.778 0.778 0.778 Pr
0.000 0.000 0.000 Nd
0.500 0.500 0.500 H
```

***

Most stable structure, least stable structure: entry x, entry w.

***

Entry w
Below is crystalline Pr2NdH at its relaxed geometry, with properties calculated at the GGA-PBE level.

Space group: P4/mmm
Total magnetization, μB per formula unit: 0.00

Structure (POSCAR):
```
Pr2NdH
1.0
3.474 0.000 0.000
0.000 3.474 0.000
0.000 0.000 8.843
Pr Nd H
2 1 1
Direct
0.000 0.000 0.186 Pr
0.000 0.000 0.814 Pr
0.500 0.500 0.500 Nd
0.500 0.500 0.000 H
```

***

Entry x
Below is crystalline Pr2NdH at its relaxed geometry, with properties calculated at the GGA-PBE level.

Space group: P6/mmm
Total magnetization, μB per formula unit: 0.00

Structure (POSCAR):
```
Pr2NdH
1.0
5.710 0.000 0.000
-2.855 4.945 0.000
0.000 0.000 4.135
Pr Nd H
2 1 1
Direct
0.333 0.667 0.000 Pr
0.667 0.333 0.000 Pr
0.000 0.000 0.500 Nd
0.000 0.000 0.000 H
```

***

Most stable structure, least stable structure: entry w, entry x.

***

Entry w
Below is crystalline NdH8Rh2 at its relaxed geometry, with properties calculated at the GGA-PBE level.

Space group: I4/mmm
Total magnetization, μB per formula unit: 0.00

Structure (POSCAR):
```
NdH8Rh2
1.0
-2.207 2.207 5.021
2.207 -2.207 5.021
2.207 2.207 -5.021
Nd H Rh
1 8 2
Direct
0.000 0.000 0.000 Nd
0.118 0.118 0.556 H
0.118 0.562 0.000 H
0.438 0.438 0.556 H
0.438 0.882 0.000 H
0.562 0.118 0.000 H
0.562 0.562 0.444 H
0.882 0.438 0.000 H
0.882 0.882 0.444 H
0.250 0.750 0.500 Rh
0.750 0.250 0.500 Rh
```

***

Entry x
Below is crystalline NdH8Rh2 at its relaxed geometry, with properties calculated at the GGA-PBE level.

Space group: Cmmm
Total magnetization, μB per formula unit: 0.00

Structure (POSCAR):
```
NdH8Rh2
1.0
2.780 -4.880 0.000
2.780 4.880 0.000
0.000 0.000 3.715
Nd H Rh
1 8 2
Direct
0.000 0.000 0.000 Nd
0.122 0.390 0.500 H
0.243 0.757 0.000 H
0.390 0.122 0.500 H
0.500 0.500 0.104 H
0.500 0.500 0.896 H
0.610 0.878 0.500 H
0.757 0.243 0.000 H
0.878 0.610 0.500 H
0.236 0.764 0.500 Rh
0.764 0.236 0.500 Rh
```

***

Most stable structure, least stable structure: entry x, entry w.

***

Entry w
Below is crystalline NdH4Ru at its relaxed geometry, with properties calculated at the GGA-PBE level.

Space group: Cmcm
Total magnetization, μB per formula unit: 0.00

Structure (POSCAR):
```
NdH4Ru
1.0
1.957 -6.021 0.000
1.957 6.021 0.000
0.000 0.000 4.954
Nd H Ru
2 8 2
Direct
0.129 0.871 0.750 Nd
0.871 0.129 0.250 Nd
0.096 0.904 0.250 H
0.304 0.696 0.504 H
0.304 0.696 0.996 H
0.500 0.500 0.000 H
0.500 0.500 0.500 H
0.696 0.304 0.004 H
0.696 0.304 0.496 H
0.904 0.096 0.750 H
0.401 0.599 0.750 Ru
0.599 0.401 0.250 Ru
```

***

Entry x
Below is crystalline NdH4Ru at its relaxed geometry, with properties calculated at the GGA-PBE level.

Space group: C2/c
Total magnetization, μB per formula unit: 0.00

Structure (POSCAR):
```
NdH4Ru
1.0
2.570 -4.754 0.000
2.570 4.754 0.000
-1.703 0.000 5.339
Nd H Ru
2 8 2
Direct
0.140 0.860 0.750 Nd
0.860 0.140 0.250 Nd
0.082 0.232 0.667 H
0.232 0.082 0.167 H
0.371 0.615 0.035 H
0.385 0.629 0.465 H
0.615 0.371 0.535 H
0.629 0.385 0.965 H
0.768 0.918 0.833 H
0.918 0.768 0.333 H
0.451 0.549 0.750 Ru
0.549 0.451 0.250 Ru
```

***

Most stable structure, least stable structure: entry w, entry x.

***

Entry w
Below is crystalline NdHRu at its relaxed geometry, with properties calculated at the GGA-PBE level.

Space group: P-6m2
Total magnetization, μB per formula unit: 0.00

Structure (POSCAR):
```
NdHRu
1.0
3.385 0.000 0.000
-1.693 2.932 0.000
0.000 0.000 4.612
Nd H Ru
1 1 1
Direct
0.000 0.000 0.000 Nd
0.333 0.667 0.500 H
0.667 0.333 0.500 Ru
```

***

Entry x
Below is crystalline NdHRu at its relaxed geometry, with properties calculated at the GGA-PBE level.

Space group: Pnma
Total magnetization, μB per formula unit: 0.00

Structure (POSCAR):
```
NdHRu
1.0
16.234 0.000 0.000
0.000 3.530 0.000
0.000 0.000 3.530
Nd H Ru
4 4 4
Direct
0.158 0.250 0.248 Nd
0.342 0.750 0.748 Nd
0.658 0.250 0.252 Nd
0.842 0.750 0.752 Nd
0.193 0.750 0.747 H
0.307 0.250 0.247 H
0.693 0.750 0.753 H
0.807 0.250 0.253 H
0.000 0.250 0.750 Ru
0.000 0.750 0.250 Ru
0.500 0.250 0.750 Ru
0.500 0.750 0.250 Ru
```

***

Most stable structure, least stable structure: entry x, entry w.